Computed, not measured: a relaxed structure of Y2MgZr at the PBE level of DFT.

Cell and atoms, written as extended XYZ:
```
8
Lattice="3.7955 0.0000 0.0000 0.0000 5.2702 0.0000 0.0000 0.0000 10.8475" Properties=species:S:1:pos:R:3 pbc="T T T"
Y 0.0000 0.0000 2.5135
Y 0.0000 0.0000 8.3340
Y 1.8977 2.6351 2.9102
Y 1.8977 2.6351 7.9372
Mg 0.0000 2.6351 5.4237
Mg 1.8977 0.0000 0.0000
Zr 0.0000 2.6351 0.0000
Zr 1.8977 0.0000 5.4237
```

Output
The value obtained for the density of states at the Fermi level is 4.9 states/eV/f.u. Its formation energy is 3.06 kcal/mol of atoms. Its magnetization is 0.0001 μB per atom. The crystal system is orthorhombic.